# 1
K3SN: single point on PBEsol structure, SCAN.

Structure (POSCAR):
```
K3SN
1.0
5.167 0.000 0.000
0.000 5.167 0.000
0.000 0.000 5.167
K S N
3 1 1
Cartesian
0.000 0.000 2.583
0.000 2.583 0.000
2.583 0.000 0.000
2.583 2.583 2.583
0.000 0.000 0.000
```

Summary:
For the calculated total energy, the calculation gives -8.915 eV per atom. For the uncorrected formation energy, the calculation gives -0.13 eV per atom. As for the space-group type: Pm-3m. The density of states at the Fermi level is 0.9642 states/eV/atom. The volume comes out at 137.95 Å³/cell.

=====

# 2
KSbSN2: single point on PBEsol structure, SCAN.

Structure (POSCAR):
```
KSbSN2
1.0
4.591 0.000 0.000
0.000 4.591 0.000
0.000 0.000 5.692
K Sb S N
1 1 1 2
Cartesian
0.000 0.000 0.000
2.296 2.296 2.846
0.000 0.000 2.846
0.000 2.296 0.000
2.296 0.000 0.000
```

Summary:
For the calculated total energy, the calculation gives -12.800 eV per atom. For the uncorrected formation energy, the calculation gives 1.96 eV per atom. As for the space-group type: P4/mmm. The density of states at the Fermi level is 0.3825 states/eV/atom. The volume comes out at 119.96 Å³/cell.

=====

# 3
KSeS2N: single point on PBEsol structure, SCAN.

Structure (POSCAR):
```
KSeS2N
1.0
5.440 0.000 0.000
0.000 5.440 0.000
0.000 0.000 4.671
K Se S N
1 1 2 1
Cartesian
0.000 0.000 0.000
2.720 2.720 2.335
0.000 2.720 0.000
2.720 0.000 0.000
0.000 0.000 2.335
```

Summary:
For the calculated total energy, the calculation gives -9.556 eV per atom. For the uncorrected formation energy, the calculation gives 1.84 eV per atom. As for the space-group type: P4/mmm. The density of states at the Fermi level is 0.8193 states/eV/atom. The volume comes out at 138.22 Å³/cell.

=====

# 4
KTeSN2: single point on PBEsol structure, SCAN.

Structure (POSCAR):
```
KTeSN2
1.0
4.137 0.000 0.000
0.000 4.137 0.000
0.000 0.000 5.118
K Te S N
1 1 1 2
Cartesian
0.000 0.000 0.000
2.069 2.069 2.559
2.069 2.069 0.000
0.000 2.069 2.559
2.069 0.000 2.559
```

Summary:
For the calculated total energy, the calculation gives -13.921 eV per atom. For the uncorrected formation energy, the calculation gives 0.84 eV per atom. As for the space-group type: P4/mmm. The density of states at the Fermi level is 0.5827 states/eV/atom. The volume comes out at 87.61 Å³/cell.

=====

# 5
KTlSN2: single point on PBEsol structure, SCAN.

Structure (POSCAR):
```
KTlSN2
1.0
4.555 0.000 0.000
0.000 4.555 0.000
0.000 0.000 5.236
K Tl S N
1 1 1 2
Cartesian
0.000 0.000 0.000
2.277 2.277 2.618
2.277 2.277 0.000
0.000 2.277 2.618
2.277 0.000 2.618
```

Summary:
For the calculated total energy, the calculation gives -20.691 eV per atom. For the uncorrected formation energy, the calculation gives 1.09 eV per atom. As for the space-group type: P4/mmm. The density of states at the Fermi level is 0.3738 states/eV/atom. The volume comes out at 108.63 Å³/cell.

=====

# 6
KTlS2N: single point on PBEsol structure, SCAN.

Structure (POSCAR):
```
KTlS2N
1.0
5.187 0.000 0.000
0.000 5.187 0.000
0.000 0.000 4.563
K Tl S N
1 1 2 1
Cartesian
0.000 0.000 0.000
2.593 2.593 2.282
0.000 2.593 2.282
2.593 0.000 2.282
2.593 2.593 0.000
```

Summary:
For the calculated total energy, the calculation gives -21.349 eV per atom. For the uncorrected formation energy, the calculation gives 0.50 eV per atom. As for the space-group type: P4/mmm. The density of states at the Fermi level is 0.6169 states/eV/atom. The volume comes out at 122.77 Å³/cell.

=====

> Among the records above, which one has the lowest calculated total energy?

KTlS2N